Entry 1:
Density functional theory data (PBE-GGA) for a relaxed Sm2TlSn crystal.

Results
- Symmetry: No. 38
- Formation energy from the elements: -0.573 eV/atom
- Volume: 29.90 Å³/atom

a b c (Å): 4.6496 4.3996 6.2918
angles (deg): 90.00 111.68 90.00
Sites, in units of the cell vectors:
Sn  0.5348  0.5000  0.0696
Sm  0.0829  0.0000  0.1657
Sm  0.8113  0.5000  0.6226
Tl  0.3556  0.0000  0.7112


Entry 2:
Density functional theory data (PBE-GGA) for a relaxed Sm8TlSn2 crystal.

Results
- Symmetry: No. 12
- Formation energy from the elements: -0.318 eV/atom
- Volume: 31.73 Å³/atom

a b c (Å): 5.1996 6.9937 10.2150
angles (deg): 103.25 104.74 90.00
Sites, in units of the cell vectors:
Sm  0.6595  0.9990  0.3190
Tl  0.5000  0.0000  0.0000
Sn  0.1809  0.7562  0.3617
Sn  0.8191  0.2438  0.6383
Sm  0.2136  0.3245  0.4272
Sm  0.9807  0.2365  0.9613
Sm  0.4069  0.5200  0.8137
Sm  0.3405  0.0010  0.6810
Sm  0.0193  0.7635  0.0387
Sm  0.5931  0.4800  0.1863
Sm  0.7864  0.6755  0.5728


Entry 3:
Density functional theory data (PBE-GGA) for a relaxed Sm10Tl3Sn3 crystal.

Results
- Symmetry: No. 189
- Formation energy from the elements: -0.495 eV/atom
- Volume: 31.17 Å³/atom

a b c (Å): 6.8379 9.1771 9.1771
angles (deg): 120.00 90.00 90.00
Sites, in units of the cell vectors:
Sn  0.5000  0.0000  0.3957
Sm  0.5000  0.2400  0.2400
Sm  0.7504  0.3333  0.6667
Sm  0.5000  0.7600  0.0000
Tl  0.0000  0.5999  0.0000
Sm  0.0000  0.7627  0.7627
Sn  0.5000  0.6043  0.6043
Sm  0.0000  0.2373  0.0000
Sm  0.2496  0.3333  0.6667
Tl  0.0000  0.0000  0.5999
Sm  0.0000  0.0000  0.2373
Sn  0.5000  0.3957  0.0000
Sm  0.2496  0.6667  0.3333
Tl  0.0000  0.4001  0.4001
Sm  0.5000  0.0000  0.7600
Sm  0.7504  0.6667  0.3333


Entry 4:
Density functional theory data (PBE-GGA) for a relaxed Sm5Tl4Sn crystal.

Results
- Symmetry: No. 123
- Formation energy from the elements: -0.436 eV/atom
- Volume: 28.59 Å³/atom

a b c (Å): 3.7018 3.7018 20.8646
angles (deg): 90.00 90.00 90.00
Sites, in units of the cell vectors:
Tl  0.0000  0.0000  0.4002
Sn  0.0000  0.0000  0.0000
Sm  0.5000  0.5000  0.7002
Sm  0.5000  0.5000  0.5000
Tl  0.0000  0.0000  0.5998
Sm  0.5000  0.5000  0.2998
Sm  0.5000  0.5000  0.9018
Sm  0.5000  0.5000  0.0982
Tl  0.0000  0.0000  0.2011
Tl  0.0000  0.0000  0.7989


Entry 5:
Density functional theory data (PBE-GGA) for a relaxed Sm8TlSn5 crystal.

Results
- Symmetry: No. 82
- Formation energy from the elements: -0.663 eV/atom
- Volume: 30.58 Å³/atom

a b c (Å): 8.2234 8.2234 8.2234
angles (deg): 109.55 109.31 109.55
Sites, in units of the cell vectors:
Sm  0.2658  0.2462  0.3741
Sn  0.8717  0.8744  0.2483
Sm  0.9804  0.1082  0.7342
Sn  0.5000  0.0000  0.5000
Sm  0.7608  0.2458  0.3694
Sn  0.7517  0.6234  0.6261
Sn  0.3739  0.1256  0.9973
Sm  0.1279  0.7538  0.0196
Sm  0.6306  0.3914  0.8764
Sn  0.0027  0.3766  0.1283
Tl  0.2500  0.5000  0.7500
Sm  0.4850  0.6086  0.2392
Sm  0.6259  0.8918  0.8721
Sm  0.1236  0.7542  0.5150


Entry 6:
Density functional theory data (PBE-GGA) for a relaxed Sm2TlSn crystal.

Results
- Symmetry: No. 166
- Formation energy from the elements: -0.394 eV/atom
- Volume: 31.11 Å³/atom

a b c (Å): 3.9648 3.9648 9.4223
angles (deg): 77.85 77.85 60.00
Sites, in units of the cell vectors:
Sm  0.2527  0.2527  0.2419
Sn  0.0000  0.0000  0.0000
Sm  0.7473  0.7473  0.7581
Tl  0.5000  0.5000  0.5000


Entry 7:
Density functional theory data (PBE-GGA) for a relaxed Sm3Tl2Sn crystal.

Results
- Symmetry: No. 65
- Formation energy from the elements: -0.482 eV/atom
- Polymorph energy (0 for the lowest one): 0 meV per atom
- Volume: 28.46 Å³/atom

a b c (Å): 4.3205 5.1387 15.3853
angles (deg): 90.00 90.00 90.00
Sites, in units of the cell vectors:
Sm  0.4999  0.5000  0.0000
Tl  0.0000  0.0000  0.3295
Sn  0.9999  0.0000  0.0000
Sm  0.5000  0.5000  0.6633
Tl  0.0000  0.5000  0.8295
Sm  0.5000  0.0000  0.8367
Sm  0.5001  0.0000  0.5000
Sm  0.5000  0.0000  0.1633
Tl  0.0000  0.0000  0.6705
Tl  0.0000  0.5000  0.1705
Sn  0.0001  0.5000  0.5000
Sm  0.5000  0.5000  0.3367


Entry 8:
Density functional theory data (PBE-GGA) for a relaxed Sm5Tl2Sn2 crystal.

Results
- Symmetry: No. 64
- Formation energy from the elements: -0.543 eV/atom
- Polymorph energy (0 for the lowest one): 0 meV per atom
- Volume: 30.57 Å³/atom

a b c (Å): 8.2579 8.2419 9.0781
angles (deg): 90.00 62.95 90.00
Sites, in units of the cell vectors:
Sn  0.1274  0.3694  0.0000
Sm  0.9560  0.3275  0.7294
Tl  0.2883  0.5000  0.4235
Sm  0.0000  0.0000  0.0000
Sm  0.8147  0.8275  0.7294
Sn  0.8726  0.6306  0.0000
Sm  0.0440  0.6725  0.2706
Sm  0.5440  0.8275  0.2706
Tl  0.7883  0.0000  0.4235
Sm  0.6853  0.3275  0.2706
Sm  0.1853  0.1725  0.2706
Sn  0.6274  0.1306  0.0000
Sn  0.3726  0.8694  0.0000
Tl  0.2117  0.0000  0.5765
Tl  0.7117  0.5000  0.5765
Sm  0.3147  0.6725  0.7294
Sm  0.4560  0.1725  0.7294
Sm  0.5000  0.5000  0.0000


Entry 9:
Density functional theory data (PBE-GGA) for a relaxed SmTlSn2 crystal.

Results
- Symmetry: No. 123
- Formation energy from the elements: -0.432 eV/atom
- Volume: 27.09 Å³/atom

a b c (Å): 4.8710 4.7166 4.7166
angles (deg): 90.00 90.00 90.00
Sites, in units of the cell vectors:
Sm  0.5000  0.5000  0.5000
Sn  0.0000  0.0000  0.5000
Sn  0.0000  0.5000  0.0000
Tl  0.5000  0.0000  0.0000


Entry 10:
Density functional theory data (PBE-GGA) for a relaxed Sm7TlSn5 crystal.

Results
- Symmetry: No. 44
- Formation energy from the elements: -0.470 eV/atom
- Volume: 30.09 Å³/atom

a b c (Å): 6.3650 8.4697 8.4697
angles (deg): 85.24 67.93 67.93
Sites, in units of the cell vectors:
Sm  0.5254  0.8097  0.1395
Sn  0.7687  0.7313  0.7313
Sn  0.0134  0.9957  0.4782
Sn  0.5127  0.9957  0.4782
Sm  0.0084  0.6571  0.3261
Tl  0.9483  0.0517  0.0517
Sm  0.5254  0.1395  0.8097
Sn  0.0134  0.4782  0.9957
Sn  0.5127  0.4782  0.9957
Sm  0.2804  0.2196  0.2196
Sm  0.6294  0.3706  0.3706
Sm  0.0084  0.3261  0.6571
Sm  0.2531  0.7469  0.7469


Entry 11:
Density functional theory data (PBE-GGA) for a relaxed Sm4Tl3Sn crystal.

Results
- Symmetry: No. 47
- Formation energy from the elements: -0.445 eV/atom
- Volume: 28.63 Å³/atom

a b c (Å): 3.7796 5.5036 11.0122
angles (deg): 90.00 90.00 90.00
Sites, in units of the cell vectors:
Sm  0.0000  0.0000  0.0000
Sm  0.0000  0.5000  0.7542
Sn  0.5000  0.5000  0.0000
Sm  0.0000  0.0000  0.5000
Tl  0.5000  0.5000  0.5000
Sm  0.0000  0.5000  0.2458
Tl  0.5000  0.0000  0.2556
Tl  0.5000  0.0000  0.7444


Entry 12:
Density functional theory data (PBE-GGA) for a relaxed Sm2TlSn crystal.

Results
- Symmetry: No. 11
- Formation energy from the elements: -0.575 eV/atom
- Volume: 29.92 Å³/atom

a b c (Å): 4.4007 6.2986 9.3058
angles (deg): 111.87 90.00 90.00
Sites, in units of the cell vectors:
Tl  0.7500  0.6882  0.7985
Sm  0.2500  0.7681  0.0725
Sm  0.7500  0.2319  0.9275
Sn  0.2500  0.3291  0.7055
Sm  0.7500  0.2256  0.4343
Tl  0.2500  0.3118  0.2015
Sm  0.2500  0.7744  0.5657
Sn  0.7500  0.6709  0.2945